1.
ErScBe2Si2: optimized geometry, GGA-PBE.

## Properties
The calculation puts the total moment at 0.000 μB per atom.

Cell lengths 3.8087, 3.8087, 7.6429 Å; angles 90.00, 90.00, 120.00 degrees
Space group P-3m1 (No. 164)
Symmetry-distinct sites (fractional):
Er: 0.0000 0.0000 0.0000
Sc: 0.0000 0.0000 0.5000
Be: 0.3333 0.6667 0.2628
Si: 0.3333 0.6667 0.7382



2.
ErBeTlSe3: optimized geometry, GGA-PBE.

## Properties
The calculation puts the total moment at 0.001 μB per atom.

Cell lengths 3.956, 14.942, 10.752 Å; angles 90.00, 90.00, 90.00 degrees
Space group Cmcm (No. 63)
Symmetry-distinct sites (fractional):
Er: 0.000 0.000 0.000
Be: 0.000 0.463 0.250
Tl: 0.000 0.250 0.750
Se: 0.000 0.057 0.250
Se: 0.000 0.378 0.078



3.
ErTmBe2Si2: optimized geometry, GGA-PBE.

## Properties
The calculation puts the total moment at 0.000 μB per atom.

Cell lengths 3.8460, 3.8460, 7.9143 Å; angles 90.00, 90.00, 120.00 degrees
Space group P-3m1 (No. 164)
Symmetry-distinct sites (fractional):
Er: 0.0000 0.0000 0.0000
Tm: 0.0000 0.0000 0.5000
Be: 0.3333 0.6667 0.2507
Si: 0.3333 0.6667 0.7490



4.
YErBe2Si2: optimized geometry, GGA-PBE.

## Properties
The calculation puts the total moment at 0.000 μB per atom.

Cell lengths 3.8609, 3.8609, 8.0035 Å; angles 90.00, 90.00, 120.00 degrees
Space group P-3m1 (No. 164)
Symmetry-distinct sites (fractional):
Y: 0.0000 0.0000 0.0000
Er: 0.0000 0.0000 0.5000
Be: 0.3333 0.6667 0.7475
Si: 0.3333 0.6667 0.2532



5.
ErZrBe2Si2: optimized geometry, GGA-PBE.

## Properties
The calculation puts the total moment at 0.001 μB per atom.

Cell lengths 3.7802, 3.7802, 7.6274 Å; angles 90.00, 90.00, 120.00 degrees
Space group P-3m1 (No. 164)
Symmetry-distinct sites (fractional):
Er: 0.0000 0.0000 0.0000
Zr: 0.0000 0.0000 0.5000
Be: 0.3333 0.6667 0.2668
Si: 0.3333 0.6667 0.7399



6.
ErBeSn: optimized geometry, GGA-PBE.

## Properties
The calculation puts the total moment at 0.000 μB per atom.

Cell lengths 6.584, 6.584, 6.584 Å; angles 90.00, 90.00, 90.00 degrees
Space group F-43m (No. 216)
Symmetry-distinct sites (fractional):
Er: 0.000 0.000 0.000
Be: 0.000 0.000 0.500
Sn: 0.250 0.250 0.750



Q: Which total DFT energy (no corrections) values were calculated for the entries above? A: -32.99 -111.94 -31.25 -33.32 -35.61 -47.17, in eV/cell.